GGA-PBEsol Ba2LiAs, relaxed; total moment = 0.00 μB per formula unit; DOS at the Fermi energy = 1.1 states/eV per cell; energy of formation from the pure elements = -0.664 eV per atom; electronic total energy = -0.258 Ry/atom
1.0
-4.072 1.893 -0.963
-1.861 -4.279 -0.542
-0.548 2.021 6.287
As Ba Li
1 2 1
Cartesian
-3.158 -1.209 0.025
-2.393 -2.257 5.682
-2.846 0.881 2.814
-1.445 -2.181 1.824